A relaxed structure of P3IrO9. Source: the Open Quantum Materials Database, functional GGA-PBE.

The structure in extended XYZ format:
```
26
Lattice="4.938 0.000 0.000 -0.293 6.851 0.000 -0.483 -1.602 10.026" Properties=species:S:1:pos:R:3 pbc="T T T"
P 3.436 1.889 2.215
O 4.316 4.238 7.824
O 4.303 5.638 3.230
O 0.128 1.897 7.643
P 0.727 3.360 7.811
O 2.629 1.472 3.419
O 1.267 6.077 1.673
O 1.534 3.777 6.607
O -0.154 1.011 2.203
Ir 2.469 0.000 0.000
O 4.034 3.352 2.384
O 0.433 1.399 5.122
O 3.729 3.850 4.904
O 3.036 1.277 6.218
O 1.371 3.393 9.174
O 2.895 -0.828 8.353
Ir 2.081 2.625 5.013
P -0.367 4.139 3.688
O 1.126 3.972 3.809
P -0.209 6.334 1.846
O -0.140 -0.389 6.797
O 2.792 1.856 0.852
P 4.530 1.110 6.339
O 0.322 -0.633 9.311
P 4.371 -1.085 8.180
O 3.840 5.882 0.716
```

Spin magnetization (μB per cell): 0.01
Calculated total energy (eV for the cell shown): -184.7